DFT (GGA-PBEsol) results for crystalline K3Li3TeO6 at its relaxed geometry.

Unit cell a=5.970 b=9.687 c=11.646 alpha=90.00 beta=90.00 gamma=90.00
Fractional positions:
K: 0.750 0.293 0.493
Li: 0.250 0.910 0.249
Te: 0.750 0.914 0.256
O: 0.510 0.661 0.854
Li: 0.494 0.665 0.257
Li: 0.994 0.165 0.243
O: 0.750 0.738 0.175
O: 0.512 0.513 0.657
O: 0.510 0.839 0.354
Li: 0.994 0.335 0.743
K: 0.750 0.872 0.973
O: 0.250 0.908 0.663
K: 0.250 0.459 0.962
O: 0.010 0.339 0.146
Li: 0.750 0.410 0.251
K: 0.250 0.793 0.007
O: 0.488 0.013 0.843
Li: 0.006 0.835 0.757
O: 0.012 0.487 0.343
K: 0.750 0.541 0.038
O: 0.988 0.987 0.157
O: 0.250 0.592 0.163
O: 0.750 0.092 0.337
Li: 0.506 0.335 0.743
Li: 0.750 0.090 0.751
O: 0.990 0.661 0.854
O: 0.250 0.238 0.325
O: 0.012 0.013 0.843
O: 0.512 0.987 0.157
K: 0.250 0.372 0.527
Li: 0.250 0.590 0.749
O: 0.990 0.839 0.354
Li: 0.494 0.835 0.757
O: 0.010 0.161 0.646
K: 0.750 0.628 0.473
O: 0.490 0.339 0.146
Te: 0.250 0.086 0.744
K: 0.250 0.128 0.027
O: 0.988 0.513 0.657
K: 0.250 0.041 0.462
Li: 0.506 0.165 0.243
O: 0.750 0.408 0.837
Te: 0.250 0.414 0.244
Te: 0.750 0.586 0.756
K: 0.250 0.707 0.507
O: 0.488 0.487 0.343
O: 0.750 0.762 0.675
O: 0.250 0.262 0.825
K: 0.750 0.959 0.538
O: 0.490 0.161 0.646
K: 0.750 0.207 0.993
Li: 0.006 0.665 0.257

Results
energy relative to the elements, uncorrected	-1.6770	eV/atom
total magnetic moment	0.000	μB/atom
mass density	3.6	g cm⁻³
crystal system	orthorhombic
calculated volume	674	Å³/cell
DOS at the Fermi energy	0.0	states/eV/cell
electronic total energy	-5.086	eV/atom